! PBE with a Hubbard U Tl2CoTeO4, optimized geometry; values from VASP
! **Electronic total energy**: -4.963 eV/atom
! **Theoretical density**: 7.51 g/cm³
&SYSTEM
  ibrav = 0, nat = 8, ntyp = 4
/
ATOMIC_SPECIES
O 16.00 O.upf
Co 58.93 Co.upf
Te 127.60 Te.upf
Tl 204.38 Tl.upf
CELL_PARAMETERS angstrom
6.572 -0.270 -0.045
-0.283 5.934 -0.015
-3.163 -2.839 3.777
ATOMIC_POSITIONS angstrom
O 2.593 1.487 2.680
Co 3.253 -0.145 3.641
Te 3.128 2.835 1.397
O 1.166 3.532 1.297
Tl 0.031 -0.010 1.405
O 3.949 -1.784 2.725
Tl -0.141 2.946 3.326
O 5.082 2.163 1.250